(1)
Computed, not measured: a relaxed NdPOsO crystal at the GGA-PBE level of DFT.

Results
calculated volume = 17.056 A^3/atom
total magnetic moment = 0.000 μB/atom
space-group type = P4/nmm (129)

a b c (Å): 4.059 4.059 8.284
angles (deg): 90.00 90.00 90.00
Atoms (fractional coordinates):
1 Nd 0.250 0.250 0.142
2 Nd 0.750 0.750 0.858
3 P 0.250 0.250 0.645
4 P 0.750 0.750 0.355
5 Os 0.250 0.750 0.500
6 Os 0.750 0.250 0.500
7 O 0.250 0.750 0.000
8 O 0.750 0.250 0.000

=====

(2)
Computed, not measured: a relaxed NdOsPbO6 crystal at the GGA-PBE level of DFT.

Results
calculated volume = 14.805 A^3/atom
total magnetic moment = 0.113 μB/atom
space-group type = Imma (74)

a b c (Å): 7.176 7.176 7.176
angles (deg): 118.93 118.32 92.40
Atoms (fractional coordinates):
1 Nd 0.000 0.000 0.000
2 Nd 0.500 0.000 0.500
3 Os 0.500 0.000 0.000
4 Os 0.500 0.500 0.500
5 Pb 0.124 0.374 0.750
6 Pb 0.876 0.626 0.250
7 O 0.105 0.855 0.250
8 O 0.193 0.423 0.369
9 O 0.193 0.824 0.769
10 O 0.420 0.170 0.250
11 O 0.445 0.176 0.869
12 O 0.445 0.577 0.269
13 O 0.555 0.423 0.731
14 O 0.555 0.824 0.131
15 O 0.580 0.830 0.750
16 O 0.807 0.176 0.231
17 O 0.807 0.577 0.631
18 O 0.895 0.145 0.750

=====

(3)
Computed, not measured: a relaxed NdOs2PbO8 crystal at the GGA-PBE level of DFT.

Results
calculated volume = 19.348 A^3/atom
total magnetic moment = 0.252 μB/atom
space-group type = P-3m1 (164)

a b c (Å): 6.074 6.074 7.267
angles (deg): 90.00 90.00 120.00
Atoms (fractional coordinates):
1 Nd 0.000 0.000 0.000
2 Os 0.333 0.667 0.293
3 Os 0.667 0.333 0.707
4 Pb 0.000 0.000 0.500
5 O 0.166 0.332 0.218
6 O 0.166 0.834 0.218
7 O 0.332 0.166 0.782
8 O 0.333 0.667 0.539
9 O 0.667 0.333 0.461
10 O 0.668 0.834 0.218
11 O 0.834 0.166 0.782
12 O 0.834 0.668 0.782

=====

Number 1: density 9.3 g/cm³, formation energy (no corrections) -1.828 eV/atom, total DFT energy (no corrections) -67.36 eV per cell. Number 2: density 7.9 g/cm³, formation energy (no corrections) -1.600 eV/atom, total DFT energy (no corrections) -127.71 eV per cell. Number 3: density 6.2 g/cm³, formation energy (no corrections) -1.276 eV/atom, total DFT energy (no corrections) -85.91 eV per cell.